[1]
The following is a DFT calculation (PBE-GGA) of NaNi3 after structural relaxation.

As for the calculated total energy: -3.969 eV per atom.

The structure belongs to space group Fm-3m (No. 225); the cell edges are 5.8756, 5.8756 and 5.8756 Å and the angles 90.00°, 90.00° and 90.00°. The distinct sites, in fractional coordinates, are Na at (0.0000, 0.0000, 0.0000), Ni at (0.0000, 0.0000, 0.5000) and Ni at (0.2500, 0.2500, 0.2500).

***

[2]
The following is a DFT calculation (PBE-GGA) of Na3Ni after structural relaxation.

As for the calculated total energy: -1.949 eV per atom.

The structure belongs to space group I4/mmm (No. 139); the cell edges are 4.3686, 4.3686 and 8.8964 Å and the angles 90.00°, 90.00° and 90.00°. The distinct sites, in fractional coordinates, are Na at (0.0000, 0.0000, 0.0000), Na at (0.0000, 0.5000, 0.2500) and Ni at (0.0000, 0.0000, 0.5000).

***

[3]
The following is a DFT calculation (PBE-GGA) of Na2Ni after structural relaxation.

As for the calculated total energy: -1.952 eV per atom.

The structure belongs to space group Fd-3m (No. 227, origin choice 2); the cell edges are 7.7229, 7.7229 and 7.7229 Å and the angles 90.00°, 90.00° and 90.00°. The distinct sites, in fractional coordinates, are Na at (0.0000, 0.0000, 0.0000) and Ni at (0.1250, 0.1250, 0.6250).

***

[4]
The following is a DFT calculation (PBE-GGA) of Na2Ni after structural relaxation.

As for the calculated total energy: -2.195 eV per atom.

The structure belongs to space group P4_2/mnm (No. 136); the cell edges are 7.1056, 7.1056 and 2.7221 Å and the angles 90.00°, 90.00° and 90.00°. The distinct sites, in fractional coordinates, are Na at (0.2390, 0.2390, 0.0000) and Ni at (0.0000, 0.0000, 0.5000).

***

[5]
The following is a DFT calculation (PBE-GGA) of NaNpNi after structural relaxation.

As for the calculated total energy: -5.777 eV per atom. The calculation puts the distance to the lowest polymorph of the same formula at 0.000 eV/atom.

The structure belongs to space group F-43m (No. 216); the cell edges are 6.4203, 6.4203 and 6.4203 Å and the angles 90.00°, 90.00° and 90.00°. The distinct sites, in fractional coordinates, are Na at (0.0000, 0.0000, 0.0000), Np at (0.0000, 0.0000, 0.5000) and Ni at (0.2500, 0.2500, 0.7500).

***

[6]
The following is a DFT calculation (PBE-GGA) of NaNiOs after structural relaxation.

As for the calculated total energy: -4.774 eV per atom. The calculation puts the distance to the lowest polymorph of the same formula at 0.000 eV/atom.

The structure belongs to space group F-43m (No. 216); the cell edges are 5.8197, 5.8197 and 5.8197 Å and the angles 90.00°, 90.00° and 90.00°. The distinct sites, in fractional coordinates, are Na at (0.0000, 0.0000, 0.0000), Ni at (0.2500, 0.2500, 0.2500) and Os at (0.0000, 0.0000, 0.5000).

***

[7]
The following is a DFT calculation (PBE-GGA) of NaNiOs after structural relaxation.

As for the calculated total energy: -3.920 eV per atom. The calculation puts the distance to the lowest polymorph of the same formula at 0.854 eV/atom.

The structure belongs to space group F-43m (No. 216); the cell edges are 5.9630, 5.9630 and 5.9630 Å and the angles 90.00°, 90.00° and 90.00°. The distinct sites, in fractional coordinates, are Na at (0.0000, 0.0000, 0.0000), Ni at (0.2500, 0.2500, 0.7500) and Os at (0.2500, 0.2500, 0.2500).

***

[8]
The following is a DFT calculation (PBE-GGA) of Na2NiP2 after structural relaxation.

As for the calculated total energy: -4.227 eV per atom.

The structure belongs to space group Cmcm (No. 63); the cell edges are 5.7906, 12.6981 and 5.2392 Å and the angles 90.00°, 90.00° and 90.00°. The distinct sites, in fractional coordinates, are Na at (0.0000, 0.0809, 0.2500), Na at (0.0000, 0.2902, 0.7500), Ni at (0.0000, 0.5000, 0.0000) and P at (0.1891, 0.3854, 0.2500).